NiSnAuO5 PBE with a Hubbard U relaxed; uncorrected energy = -79.17 eV/cell; M_tot = 3.01 μB/f.u.; SG = C2/c, No. 15
1.0
5.4454 -0.3640 0.3102
-1.9377 5.1020 0.3102
-1.1480 -1.5507 7.1516
O Ni Au Sn
10 2 2 2
Cartesian
1.5119 1.5744 6.8397
4.2057 0.9014 3.1336
1.6385 2.6810 3.2638
-0.9396 3.5103 6.7094
-1.8460 2.2859 4.6384
0.7212 0.5063 4.5082
3.2992 -0.3230 1.0626
3.7882 -0.9376 5.6739
0.8478 1.6129 0.9324
-1.4286 4.1249 2.0981
2.2580 0.1953 5.6739
0.1017 2.9920 2.0981
-0.1498 1.9778 5.6739
2.5094 1.2095 2.0981
-0.5740 -0.7754 3.5758
0.0000 0.0000 0.0000